Computed, not measured: a relaxed HgBi2As2 crystal at the PBE level of DFT.

a b c (Å): 8.1833 8.1833 3.9424
angles (deg): 90.00 90.00 90.00
Last column: nearest neighbours and their distance in Å.
Positions (direct):
As: 0.3527 0.8527 0.0000  6 Bi 3.05-3.14, 2 Hg 3.13, 1 As 3.41
As: 0.8527 0.6473 0.0000  6 Bi 3.05-3.14, 2 Hg 3.13, 1 As 3.41
As: 0.6473 0.1473 0.0000  6 Bi 3.05-3.14, 2 Hg 3.13, 1 As 3.41
As: 0.1473 0.3527 0.0000  6 Bi 3.05-3.14, 2 Hg 3.13, 1 As 3.41
Bi: 0.1521 0.6521 0.5000  6 As 3.05-3.14
Bi: 0.6521 0.8479 0.5000  6 As 3.05-3.14
Bi: 0.8479 0.3479 0.5000  6 As 3.05-3.14
Bi: 0.3479 0.1521 0.5000  6 As 3.05-3.14
Hg: 0.0000 0.0000 0.0000  4 As 3.13
Hg: 0.5000 0.5000 0.0000  4 As 3.13

Calculated values
Offset from the most stable computed form   6.4 kJ/mol of atoms
Total energy   -3.28 eV per atom
E_form   0.959 eV/f.u.
Crystal system   tetragonal
M_tot   0.0 μB/f.u.

=====

Computed, not measured: a relaxed YCdAg crystal at the PBE level of DFT.

a b c (Å): 3.3903 4.8535 8.5256
angles (deg): 90.00 90.00 90.00
Last column: nearest neighbours and their distance in Å.
Positions (direct):
Y: 0.3116 0.7162 0.1243  6 Ag 3.17-3.20, 6 Cd 3.37-3.48, 2 Y 3.39
Y: 0.3116 0.2162 0.6686  6 Ag 3.17-3.20, 6 Cd 3.37-3.48, 2 Y 3.39
Cd: 0.8117 0.2163 0.3127  2 Cd 2.82, 1 Ag 2.82
Cd: 0.8115 0.7163 0.4801  2 Cd 2.82, 1 Ag 2.82
Ag: 0.8116 0.2161 0.9822  1 Cd 2.82, 2 Ag 2.83
Ag: 0.8116 0.7161 0.8106  1 Cd 2.82, 2 Ag 2.83

Calculated values
Total energy   -3.72 eV per atom
E_form   -0.928 eV/f.u.
Crystal system   orthorhombic
M_tot   0.0 μB/f.u.